[1]
B2O3, relaxed, DFT GGA-PBE; symmetry = P3_121; formation energy without anion corrections = -11.89 eV per formula unit
1.0
-1.910 -0.273 -3.957
2.415 -3.354 1.514
-7.190 -3.501 3.712
B O
6 9
direct
0.781 0.596 0.776
0.815 0.219 0.443
0.404 0.185 0.109
0.219 0.815 0.557
0.596 0.781 0.224
0.185 0.404 0.891
0.124 0.534 0.462
0.466 0.590 0.796
0.410 0.876 0.129
0.000 0.821 0.667
0.821 0.000 0.333
0.179 0.179 0.000
0.534 0.124 0.538
0.590 0.466 0.204
0.876 0.410 0.871

[2]
Li2YW, relaxed, DFT GGA-PBE; symmetry = I4/mmm; offset from the most stable computed form = 0.2876 eV per atom; formation energy from the elements = 0.741 eV/atom
1.0
5.308 0.068 0.000
2.040 4.901 0.000
-3.674 -2.484 2.917
Li W Y
2 1 1
direct
0.000 0.000 0.000
0.500 0.500 0.000
0.250 0.750 0.500
0.750 0.250 0.500

[3]
AsRu4, relaxed, DFT GGA-PBE; symmetry = I4/mmm; offset from the most stable computed form = 0.0000 eV per atom; formation energy from the elements = 0.484 eV/atom
1.0
-4.959 -0.384 4.868
-5.112 3.969 2.559
3.476 -2.729 -5.377
As Ru
1 4
direct
0.000 0.000 0.000
0.750 0.250 0.500
0.250 0.750 0.500
0.599 0.599 0.000
0.401 0.401 0.000

[4]
Tm2NbRu3, relaxed, DFT GGA-PBE; symmetry = Cmmm; formation energy from the elements = -0.453 eV/atom
1.0
-3.020 -0.032 -3.530
-4.508 -5.719 0.852
-4.157 3.801 3.522
Tm Nb Ru
4 2 6
direct
0.000 0.000 0.000
0.000 0.000 0.500
0.334 0.332 0.500
0.666 0.668 0.500
0.333 0.334 0.000
0.667 0.666 0.000
0.828 0.345 0.770
0.500 0.000 0.236
0.172 0.655 0.230
0.828 0.345 0.230
0.172 0.655 0.770
0.500 0.000 0.764

[5]
Tb2MnAl4Pt3, relaxed, DFT GGA-PBE; symmetry = P-4m2; formation energy from the elements = -0.923 eV/atom
1.0
4.116 0.000 0.000
0.000 4.116 0.000
0.000 0.000 10.895
Tb Mn Al Pt
2 1 4 3
direct
0.500 0.000 0.253
0.000 0.500 0.747
0.500 0.500 0.500
0.500 0.500 0.000
0.000 0.000 0.000
0.500 0.000 0.634
0.000 0.500 0.366
0.000 0.000 0.500
0.500 0.000 0.863
0.000 0.500 0.137

[6]
Er2PuPa, relaxed, DFT GGA-PBE; symmetry = P4/mmm; formation energy from the elements = 0.193 eV/atom
1.0
5.062 0.000 0.000
0.000 4.627 0.000
0.000 0.000 4.627
Er Pa Pu
2 1 1
direct
0.000 0.000 0.500
0.000 0.500 0.000
0.500 0.500 0.500
0.500 0.000 0.000

[7]
Tm3Zn9Pd2, relaxed, DFT GGA-PBE; symmetry = Immm; formation energy from the elements = -0.453 eV/atom
1.0
4.146 0.000 1.114
1.477 7.484 2.776
0.047 0.541 8.100
Tm Zn Pd
3 9 2
direct
0.000 0.000 0.000
0.696 0.304 0.304
0.304 0.696 0.696
0.000 0.500 0.500
0.667 0.973 0.692
0.333 0.027 0.308
0.667 0.692 0.973
0.333 0.308 0.027
0.869 0.851 0.411
0.131 0.149 0.589
0.869 0.411 0.851
0.131 0.589 0.149
0.500 0.309 0.691
0.500 0.691 0.309

[8]
Ti2CoPRh, relaxed, DFT GGA-PBE; symmetry = P4/mmm; formation energy from the elements = 0.093 eV/atom
1.0
-4.341 0.112 1.223
1.147 -0.320 4.099
0.199 4.497 0.295
Co Rh P Ti
1 1 1 2
direct
0.500 0.500 0.500
0.000 0.500 0.000
0.000 0.000 0.000
0.000 0.000 0.500
0.500 0.000 0.000

[9]
TaTi5NbAl2, relaxed, DFT GGA-PBE; symmetry = I4/mcm; formation energy from the elements = 0.179 eV/atom
1.0
-5.437 3.036 3.321
-4.405 -4.654 -2.957
5.753 -3.136 4.787
Ta Ti Nb Al
2 10 2 4
direct
0.250 0.250 0.500
0.750 0.750 0.500
0.925 0.425 0.283
0.642 0.142 0.717
0.075 0.575 0.717
0.142 0.075 0.717
0.575 0.642 0.717
0.858 0.925 0.283
0.425 0.358 0.283
0.358 0.858 0.283
0.500 0.500 0.000
0.000 0.000 0.000
0.250 0.750 0.500
0.750 0.250 0.500
0.116 0.384 0.000
0.616 0.116 0.000
0.384 0.884 0.000
0.884 0.616 0.000

[10]
Sr2ZnSb, relaxed, DFT GGA-PBE; symmetry = Amm2; formation energy without anion corrections = -2.67 eV per formula unit; offset from the most stable computed form = 0.0000 eV per atom
1.0
-2.158 -2.526 -5.576
-5.218 -3.276 -2.041
-2.124 3.999 -0.989
Sb Zn Sr
1 1 2
direct
0.701 0.701 0.875
0.545 0.545 0.375
0.989 0.989 0.875
0.265 0.265 0.375

[11]
Pu4In5Ga2, relaxed, DFT GGA-PBE; symmetry = P2/m; formation energy from the elements = -0.017 eV/atom
1.0
3.075 0.000 0.000
0.000 9.089 5.486
0.000 4.437 12.539
Pu In Ga
4 5 2
direct
0.500 0.622 0.541
0.500 0.126 0.818
0.500 0.378 0.459
0.500 0.874 0.182
0.000 0.310 0.905
0.000 0.226 0.348
0.000 0.500 0.000
0.000 0.774 0.652
0.000 0.690 0.095
0.000 0.038 0.268
0.000 0.962 0.732

[12]
La5NdSmHo2, relaxed, DFT GGA-PBE; symmetry = Cmc2_1; formation energy from the elements = 0.137 eV/atom
1.0
-4.759 2.769 -1.757
-2.153 -10.507 -1.224
-3.906 -0.365 10.007
La Nd Sm Ho
10 2 2 4
direct
0.386 0.771 0.023
0.721 0.442 0.817
0.482 0.963 0.744
0.295 0.590 0.706
0.984 0.969 0.517
0.614 0.229 0.523
0.279 0.558 0.317
0.518 0.037 0.244
0.705 0.410 0.206
0.016 0.031 0.017
0.590 0.180 0.955
0.410 0.820 0.455
0.803 0.605 0.513
0.197 0.395 0.013
0.884 0.768 0.814
0.115 0.229 0.736
0.116 0.232 0.314
0.885 0.771 0.236

[13]
Mn2PtAu6, relaxed, DFT GGA-PBE; symmetry = C2/m; formation energy from the elements = -0.094 eV/atom
1.0
3.754 0.000 -1.123
-0.642 6.199 -2.145
-0.073 0.092 6.593
Mn Pt Au
2 1 6
direct
0.944 0.181 0.888
0.056 0.819 0.112
0.500 0.500 0.000
0.396 0.840 0.793
0.604 0.160 0.207
0.719 0.836 0.438
0.163 0.499 0.327
0.281 0.164 0.562
0.837 0.501 0.673

[14]
BaGaSN2, relaxed, DFT GGA-PBE; symmetry = P4/mmm; formation energy without anion corrections = 1.20 eV per formula unit; offset from the most stable computed form = 0.0000 eV per atom
1.0
-3.577 -1.187 -2.046
1.738 -3.835 -0.814
-1.842 -1.732 4.227
S Ba Ga N
1 1 1 2
direct
0.000 0.000 0.500
0.500 0.500 0.500
0.000 0.000 0.000
0.000 0.500 0.000
0.500 0.000 0.000

[15]
Dy2SnIr, relaxed, DFT GGA-PBE; symmetry = P2_1/m; offset from the most stable computed form = 0.0000 eV per atom; formation energy from the elements = -0.802 eV/atom
1.0
3.962 0.000 0.000
0.000 5.776 -2.336
0.000 -0.138 8.813
Dy Sn Ir
4 2 2
direct
0.750 0.204 0.454
0.250 0.796 0.546
0.250 0.775 0.109
0.750 0.225 0.891
0.250 0.325 0.203
0.750 0.675 0.797
0.750 0.679 0.297
0.250 0.321 0.703

[16]
Dy2HoCd, relaxed, DFT GGA-PBE; symmetry = P4/mmm; offset from the most stable computed form = 0.0883 eV per atom; formation energy from the elements = -0.055 eV/atom
1.0
3.905 0.000 0.000
0.000 5.398 0.000
0.000 0.000 5.398
Cd Ho Dy
1 1 2
direct
0.500 0.000 0.000
0.500 0.500 0.500
0.000 0.000 0.500
0.000 0.500 0.000

[17]
AgRu2Br, relaxed, DFT GGA-PBE; symmetry = Cmmm; formation energy without anion corrections = 3.89 eV per formula unit; offset from the most stable computed form = 0.5572 eV per atom
1.0
2.910 -0.003 0.000
-1.487 2.501 0.000
0.000 0.000 9.198
Ru Br Ag
2 1 1
direct
0.000 0.000 0.988
0.000 0.000 0.511
0.500 0.500 0.750
0.500 0.500 0.250

[18]
Ca2Pm3Ge2, relaxed, DFT GGA-PBE; symmetry = C2/m; formation energy from the elements = -0.450 eV/atom
1.0
4.265 0.000 0.000
-2.132 6.335 -0.092
0.000 -3.031 7.971
Ca Pm Ge
2 3 2
direct
0.840 0.679 0.190
0.160 0.321 0.810
0.500 0.000 0.000
0.627 0.254 0.436
0.373 0.746 0.564
0.832 0.664 0.790
0.168 0.336 0.210

[19]
TiAl2Au3, relaxed, DFT GGA-PBE; symmetry = P4/mmm; offset from the most stable computed form = 0.0206 eV per atom; formation energy from the elements = -0.360 eV/atom
1.0
-1.579 -1.258 2.409
1.713 -2.623 -0.247
6.832 3.850 6.490
Ti Al Au
1 2 3
direct
0.500 0.500 0.500
0.500 0.500 0.834
0.500 0.500 0.166
0.000 0.000 0.000
0.000 0.000 0.677
0.000 0.000 0.323

[20]
Mg3SF, relaxed, DFT GGA-PBE; symmetry = Pm-3m; formation energy without anion corrections = -3.81 eV per formula unit; offset from the most stable computed form = 0.0000 eV per atom
1.0
4.567 0.000 0.000
0.000 4.567 0.000
0.000 0.000 4.567
S Mg F
1 3 1
direct
0.500 0.500 0.500
0.000 0.500 0.000
0.000 0.000 0.500
0.500 0.000 0.000
0.000 0.000 0.000

[21]
P2PdSO, relaxed, DFT GGA-PBE; symmetry = P4/mmm; formation energy without anion corrections = 6.23 eV per formula unit; offset from the most stable computed form = 0.8611 eV per atom
1.0
4.589 0.000 0.000
0.000 4.589 0.000
0.000 0.000 4.903
P S O Pd
2 1 1 1
direct
0.000 0.500 0.000
0.500 0.000 0.000
0.000 0.000 0.500
0.500 0.500 0.500
0.000 0.000 0.000

[22]
Ho3ErRu4, relaxed, DFT GGA-PBE; symmetry = P4/mmm; formation energy from the elements = -0.358 eV/atom
1.0
-0.963 3.322 3.294
1.801 -4.328 4.891
9.006 3.141 -0.536
Ru Ho Er
8 6 2
direct
0.500 0.749 0.000
0.500 0.749 0.500
0.500 0.251 0.000
0.500 0.251 0.500
0.000 0.749 0.750
0.000 0.749 0.250
0.000 0.251 0.250
0.000 0.251 0.750
0.000 0.000 0.000
0.000 0.000 0.500
0.500 0.000 0.750
0.500 0.000 0.250
0.500 0.500 0.750
0.500 0.500 0.250
0.000 0.500 0.000
0.000 0.500 0.500

[23]
LaTm3Ag4, relaxed, DFT GGA-PBE; symmetry = P4/mmm; formation energy from the elements = -0.303 eV/atom
1.0
5.149 0.000 0.000
0.000 7.349 0.000
0.000 0.000 10.294
Tm Ag La
6 8 2
direct
0.000 0.000 0.000
0.000 0.000 0.500
0.500 0.000 0.750
0.500 0.000 0.250
0.500 0.500 0.750
0.500 0.500 0.250
0.500 0.768 0.000
0.500 0.768 0.500
0.500 0.232 0.000
0.500 0.232 0.500
0.001 0.768 0.750
0.999 0.768 0.250
0.999 0.232 0.250
0.001 0.232 0.750
0.000 0.500 0.000
0.000 0.500 0.500

[24]
NiAgP2, relaxed, DFT GGA-PBE; symmetry = R-3m; offset from the most stable computed form = 0.1326 eV per atom; formation energy from the elements = 0.055 eV/atom
1.0
-3.138 0.946 6.670
-3.312 -2.148 6.297
-0.677 -0.848 7.352
Ag Ni P
1 1 2
direct
0.250 0.250 0.250
0.750 0.750 0.750
0.017 0.017 0.017
0.483 0.483 0.483